A relaxed K2MnIrO6 crystal. Source: Alexandria, functional PBE with a Hubbard U.

Properties
* DFT total energy: -5.946 eV/atom
* crystal system: cubic
* total magnetic moment: 0.3217 μB per atom
* density of states at the Fermi level: 4.7 states/eV per cell

Cell and atoms, written as POSCAR:
```
K2MnIrO6
1.0
-3.356 -4.488 -0.999
2.265 -5.201 -0.460
-0.882 -3.861 4.089
K Ir O Mn
2 1 6 1
Direct
0.250 0.250 0.250
0.750 0.750 0.750
0.000 0.000 0.000
0.763 0.237 0.237
0.763 0.763 0.237
0.237 0.763 0.763
0.237 0.763 0.237
0.237 0.237 0.763
0.763 0.237 0.763
0.500 0.500 0.500
```